Material: PPt2W
Method: DFT, PBE
State: relaxed

The space group is Imm2 (No. 44) and the conventional cell measures 3.366, 4.443 and 8.117 Å, with angles of 90.00, 90.00 and 90.00 degrees. The distinct sites, in fractional coordinates, are P at (0.000, 0.000, 0.000), Pt at (0.000, 0.000, 0.517), Pt at (0.000, 0.500, 0.292) and W at (0.000, 0.500, 0.718).

For the volume, the calculation gives 60.7 Å³/f.u. The value obtained for the density of states at the Fermi level is 0.841 states/eV per atom. The calculation puts the formation energy at -0.016 eV/atom. The value obtained for the total energy is -7.63 eV per atom.



Material: YLuTe3
Method: DFT, PBE
State: relaxed

The space group is P4mm (No. 99) and the conventional cell measures 4.297, 4.297 and 9.469 Å, with angles of 90.00, 90.00 and 90.00 degrees. The distinct sites, in fractional coordinates, are Y at (0.000, 0.000, 0.000), Lu at (0.500, 0.500, 0.258), Te at (0.000, 0.000, 0.338) and Te at (0.000, 0.500, 0.759).

For the volume, the calculation gives 174.8 Å³/f.u. The value obtained for the density of states at the Fermi level is 0.800 states/eV per atom. The polymorph energy (0 for the lowest one) is 817 meV/atom. The value obtained for the total energy is -4.66 eV per atom. The formation energy (no corrections) comes out at -0.574 eV per atom.



Material: Ac5Tl2Pb2
Method: DFT, PBE
State: relaxed

The space group is Cmce (No. 64) and the conventional cell measures 17.472, 8.919 and 8.905 Å, with angles of 90.00, 90.00 and 90.00 degrees. The distinct sites, in fractional coordinates, are Ac at (0.000, 0.000, 0.000), Ac at (0.141, 0.174, 0.331), Tl at (0.000, 0.124, 0.625) and Pb at (0.205, 0.000, 0.000).

For the volume, the calculation gives 346.9 Å³/f.u. The value obtained for the density of states at the Fermi level is 0.994 states/eV per atom. The calculation puts the formation energy at -0.438 eV/atom. The polymorph energy (0 for the lowest one) is 0 meV/atom. The value obtained for the total energy is -4.07 eV per atom.



Material: TbNdTh2S4
Method: DFT, PBE
State: relaxed

The space group is P2/m (No. 10) and the conventional cell measures 6.891, 4.020 and 7.027 Å, with angles of 90.00, 109.31 and 90.00 degrees. The distinct sites, in fractional coordinates, are Tb at (0.000, 0.000, 0.000), Nd at (0.500, 0.500, 0.000), Th at (0.000, 0.500, 0.500), Th at (0.500, 0.000, 0.500), S at (0.242, 0.500, 0.241) and S at (0.246, 0.000, 0.755).

For the volume, the calculation gives 183.7 Å³/f.u. The value obtained for the density of states at the Fermi level is 0.574 states/eV per atom. The value obtained for the total energy is -7.01 eV per atom. The formation energy (no corrections) comes out at -1.913 eV per atom.